A plane-wave DFT calculation with GGA-PBE was carried out for crystalline LaAlSb2 at its relaxed geometry.

abc: 11.759 11.759 11.759
angles: 16.55 16.55 16.55
Positions (direct):
Sb 0.009 0.009 0.009
Sb 0.233 0.233 0.233
Al 0.502 0.502 0.502
La 0.756 0.756 0.756

space group	R3m, No. 160
energy relative to the elements, uncorrected	0	kJ per mole of atoms
M_tot	0.00	μB/cell